# PBE-GGA SrPu2Os, relaxed
# * E_form: 0.2145 eV per atom
# * space group: R-3m (166)
data_SrPu2Os
_cell_length_a 9.3399
_cell_length_b 9.3399
_cell_length_c 9.3399
_cell_angle_alpha 25.24
_cell_angle_beta 25.24
_cell_angle_gamma 25.24
_symmetry_space_group_name_H-M 'P 1'
_symmetry_Int_Tables_number 1
loop_
_symmetry_equiv_pos_as_xyz
'x,y,z'
loop_
_atom_site_label
_atom_site_type_symbol
_atom_site_fract_x
_atom_site_fract_y
_atom_site_fract_z
Sr1 Sr 0.0000 0.0000 0.0000
Pu1 Pu 0.2182 0.2182 0.2182
Pu2 Pu 0.7818 0.7818 0.7818
Os1 Os 0.5000 0.5000 0.5000

=====

# PBE-GGA Na2NiN2, relaxed
# * formation energy from raw total energies: 321 meV/atom
# * space group: P4/mbm (127)
data_Na2NiN2
_cell_length_a 5.1051
_cell_length_b 5.1051
_cell_length_c 4.1374
_cell_angle_alpha 90.00
_cell_angle_beta 90.00
_cell_angle_gamma 90.00
_symmetry_space_group_name_H-M 'P 1'
_symmetry_Int_Tables_number 1
loop_
_symmetry_equiv_pos_as_xyz
'x,y,z'
loop_
_atom_site_label
_atom_site_type_symbol
_atom_site_fract_x
_atom_site_fract_y
_atom_site_fract_z
Na1 Na 0.1810 0.3190 0.0000
Na2 Na 0.3190 0.8190 0.0000
Na3 Na 0.6810 0.1810 0.0000
Na4 Na 0.8190 0.6810 0.0000
Ni1 Ni 0.0000 0.0000 0.5000
Ni2 Ni 0.5000 0.5000 0.5000
N1 N 0.0965 0.5965 0.5000
N2 N 0.4035 0.0965 0.5000
N3 N 0.5965 0.9035 0.5000
N4 N 0.9035 0.4035 0.5000

=====

# PBE-GGA Zr4TiRh2, relaxed
# * E_form: -0.1696 eV per atom
# * space group: R-3m (166)
data_Zr4TiRh2
_cell_length_a 8.3403
_cell_length_b 8.3403
_cell_length_c 8.3403
_cell_angle_alpha 32.69
_cell_angle_beta 32.69
_cell_angle_gamma 32.69
_symmetry_space_group_name_H-M 'P 1'
_symmetry_Int_Tables_number 1
loop_
_symmetry_equiv_pos_as_xyz
'x,y,z'
loop_
_atom_site_label
_atom_site_type_symbol
_atom_site_fract_x
_atom_site_fract_y
_atom_site_fract_z
Zr1 Zr 0.1215 0.1215 0.1215
Zr2 Zr 0.2896 0.2896 0.2896
Zr3 Zr 0.7104 0.7104 0.7104
Zr4 Zr 0.8785 0.8785 0.8785
Ti1 Ti 0.5000 0.5000 0.5000
Rh1 Rh 0.3991 0.3991 0.3991
Rh2 Rh 0.6009 0.6009 0.6009

=====

# PBE-GGA NbAlReIr, relaxed
# * E_form: -0.4769 eV per atom
# * space group: F-43m (216)
data_NbAlReIr
_cell_length_a 4.4294
_cell_length_b 4.4294
_cell_length_c 4.4294
_cell_angle_alpha 60.00
_cell_angle_beta 60.00
_cell_angle_gamma 60.00
_symmetry_space_group_name_H-M 'P 1'
_symmetry_Int_Tables_number 1
loop_
_symmetry_equiv_pos_as_xyz
'x,y,z'
loop_
_atom_site_label
_atom_site_type_symbol
_atom_site_fract_x
_atom_site_fract_y
_atom_site_fract_z
Nb1 Nb 0.0000 0.0000 0.0000
Al1 Al 0.5000 0.5000 0.5000
Re1 Re 0.7500 0.7500 0.7500
Ir1 Ir 0.2500 0.2500 0.2500

=====

# PBE-GGA CaAlSe2, relaxed
# * formation energy from raw total energies: -1005 meV/atom
# * space group: Imm2 (44)
data_CaAlSe2
_cell_length_a 7.0828
_cell_length_b 7.0828
_cell_length_c 7.0828
_cell_angle_alpha 149.93
_cell_angle_beta 148.39
_cell_angle_gamma 44.19
_symmetry_space_group_name_H-M 'P 1'
_symmetry_Int_Tables_number 1
loop_
_symmetry_equiv_pos_as_xyz
'x,y,z'
loop_
_atom_site_label
_atom_site_type_symbol
_atom_site_fract_x
_atom_site_fract_y
_atom_site_fract_z
Ca1 Ca 0.0000 0.0000 0.0000
Al1 Al 0.7583 0.2583 0.5000
Se1 Se 0.3240 0.8240 0.5000
Se2 Se 0.5982 0.5982 0.0000

=====

# PBE-GGA LaTbCu, relaxed
# * E_form: -0.0959 eV per atom
# * space group: I4mm (107)
data_LaTbCu
_cell_length_a 6.7780
_cell_length_b 6.7780
_cell_length_c 6.7780
_cell_angle_alpha 149.27
_cell_angle_beta 149.27
_cell_angle_gamma 44.01
_symmetry_space_group_name_H-M 'P 1'
_symmetry_Int_Tables_number 1
loop_
_symmetry_equiv_pos_as_xyz
'x,y,z'
loop_
_atom_site_label
_atom_site_type_symbol
_atom_site_fract_x
_atom_site_fract_y
_atom_site_fract_z
La1 La 0.0000 0.0000 0.0000
Tb1 Tb 0.2764 0.2764 0.0000
Cu1 Cu 0.6572 0.6572 0.0000

=====

Q: Which formula does entry 2 have?
A: Na2NiN2